1.
Entry from Alexandria: a relaxed BeCr4Se crystal (PBE).

Cell: 4.7609 4.7609 4.7609 Å, 60.00 60.00 60.00°
Positions (direct):
Be (0.0000, 0.0000, 0.0000)
Cr (0.1196, 0.6268, 0.6268)
Cr (0.6268, 0.1196, 0.6268)
Cr (0.6268, 0.6268, 0.1196)
Cr (0.6268, 0.6268, 0.6268)
Se (0.2500, 0.2500, 0.2500)

Results
Its uncorrected formation energy is 0.574 eV/atom. The value obtained for the density of states at the Fermi level is 7.3 states/eV per cell.

=====

2.
Entry from Alexandria: a relaxed Be2CrSe crystal (PBE).

Cell: 2.5928 3.8210 5.0403 Å, 90.00 98.59 90.00°
Positions (direct):
Be (0.0000, 0.0000, 0.0000)
Be (0.0341, 0.5000, 0.2122)
Cr (0.6231, 0.0000, 0.3778)
Se (0.9308, 0.5000, 0.6887)

Results
Its uncorrected formation energy is 0.331 eV/atom. The value obtained for the density of states at the Fermi level is 2.3 states/eV per cell.

=====

3.
Entry from Alexandria: a relaxed Be2CrSe crystal (PBE).

Cell: 3.4307 3.4307 7.9640 Å, 90.00 90.00 90.00°
Positions (direct):
Be (0.0000, 0.5000, 0.2500)
Be (0.0000, 0.5000, 0.7500)
Be (0.5000, 0.0000, 0.2500)
Be (0.5000, 0.0000, 0.7500)
Cr (0.0000, 0.0000, 0.0000)
Cr (0.5000, 0.5000, 0.5000)
Se (0.0000, 0.0000, 0.5000)
Se (0.5000, 0.5000, 0.0000)

Results
Its uncorrected formation energy is 0.324 eV/atom. The value obtained for the density of states at the Fermi level is 3.7 states/eV per cell.

=====

4.
Entry from Alexandria: a relaxed Be2CrSe crystal (PBE).

Cell: 3.0893 3.3677 4.8844 Å, 90.00 90.11 90.00°
Positions (direct):
Be (0.0008, 0.0000, 0.2013)
Be (0.9992, 0.0000, 0.7987)
Cr (0.5000, 0.5000, 0.0000)
Se (0.0000, 0.5000, 0.5000)

Results
Its uncorrected formation energy is 0.268 eV/atom. The value obtained for the density of states at the Fermi level is 2.1 states/eV per cell.

=====

5.
Entry from Alexandria: a relaxed Be2CrSe crystal (PBE).

Cell: 6.4772 6.4772 4.7629 Å, 90.00 90.00 90.00°
Positions (direct):
Be (0.2267, 0.7500, 0.1250)
Be (0.2500, 0.2267, 0.8750)
Be (0.2500, 0.2733, 0.3750)
Be (0.2733, 0.7500, 0.6250)
Be (0.7267, 0.2500, 0.6250)
Be (0.7500, 0.7267, 0.3750)
Be (0.7500, 0.7733, 0.8750)
Be (0.7733, 0.2500, 0.1250)
Cr (0.0000, 0.0000, 0.5000)
Cr (0.0000, 0.5000, 0.7500)
Cr (0.5000, 0.0000, 0.2500)
Cr (0.5000, 0.5000, 0.0000)
Se (0.0000, 0.0000, 0.0000)
Se (0.0000, 0.5000, 0.2500)
Se (0.5000, 0.0000, 0.7500)
Se (0.5000, 0.5000, 0.5000)

Results
Its uncorrected formation energy is 0.586 eV/atom. The value obtained for the density of states at the Fermi level is 17.0 states/eV per cell.

=====

6.
Entry from Alexandria: a relaxed BeCr3Se crystal (PBE).

Cell: 4.3117 4.3117 4.3117 Å, 90.00 90.00 90.00°
Positions (direct):
Be (0.0000, 0.0000, 0.0000)
Cr (0.0000, 0.5000, 0.5000)
Cr (0.5000, 0.0000, 0.5000)
Cr (0.5000, 0.5000, 0.0000)
Se (0.5000, 0.5000, 0.5000)

Results
As for the energy relative to the lowest polymorph listed for this composition: 472 meV per atom. Its uncorrected formation energy is 1.272 eV/atom. The value obtained for the density of states at the Fermi level is 6.3 states/eV per cell.